(1)
# TiMnAg2Sb (GGA-PBE, relaxed)
data_TiMnAg2Sb
_chemical_formula_sum 'Ti1 Mn1 Ag2 Sb1'
_cell_length_a 4.850
_cell_length_b 4.850
_cell_length_c 4.849
_cell_angle_alpha 90.00
_cell_angle_beta 90.00
_cell_angle_gamma 90.00
_symmetry_space_group_name_H-M 'P 4/m m m'
_symmetry_Int_Tables_number 123
_symmetry_space_group_name_Hall '-P 4 2'
loop_
_atom_site_label
_atom_site_type_symbol
_atom_site_fract_x
_atom_site_fract_y
_atom_site_fract_z
Ti1 Ti 0.000 0.000 0.000
Mn1 Mn 0.500 0.500 0.500
Ag1 Ag 0.000 0.500 0.500
Sb1 Sb 0.500 0.500 0.000
# Uncorrected formation energy ... 807 meV per atom
# Calculated volume ... 22.81 Å³/atom
# Magnetization ... 3.3 μB per formula unit



(2)
# Nd3Tl3Cd2 (GGA-PBE, relaxed)
data_Nd3Tl3Cd2
_chemical_formula_sum 'Nd12 Tl12 Cd8'
_cell_length_a 4.830
_cell_length_b 11.899
_cell_length_c 15.939
_cell_angle_alpha 90.00
_cell_angle_beta 90.00
_cell_angle_gamma 90.00
_symmetry_space_group_name_H-M 'C m c m'
_symmetry_Int_Tables_number 63
_symmetry_space_group_name_Hall '-C 2c 2'
loop_
_atom_site_label
_atom_site_type_symbol
_atom_site_fract_x
_atom_site_fract_y
_atom_site_fract_z
Nd1 Nd 0.000 0.073 0.113
Nd2 Nd 0.000 0.342 0.250
Tl1 Tl 0.000 0.374 0.750
Tl2 Tl 0.000 0.391 0.048
Cd1 Cd 0.000 0.223 0.599
# Calculated volume ... 28.63 Å³/atom
# Relative energy among the computed polymorphs ... 0 meV/atom
# Magnetization ... 0.6 μB per formula unit
# ΔE_f ... -311 meV/atom



(3)
# Zr8In2Hg3 (GGA-PBE, relaxed)
data_Zr8In2Hg3
_chemical_formula_sum 'Zr16 In4 Hg6'
_cell_length_a 4.726
_cell_length_b 6.882
_cell_length_c 19.725
_cell_angle_alpha 90.00
_cell_angle_beta 90.00
_cell_angle_gamma 90.00
_symmetry_space_group_name_H-M 'I m m m'
_symmetry_Int_Tables_number 71
_symmetry_space_group_name_Hall '-I 2 2'
loop_
_atom_site_label
_atom_site_type_symbol
_atom_site_fract_x
_atom_site_fract_y
_atom_site_fract_z
Zr1 Zr 0.000 0.000 0.093
Zr2 Zr 0.000 0.267 0.361
Zr3 Zr 0.000 0.500 0.164
In1 In 0.000 0.000 0.235
Hg1 Hg 0.000 0.310 0.000
Hg2 Hg 0.000 0.500 0.500
# Calculated volume ... 24.67 Å³/atom
# Magnetization ... 0.0 μB per formula unit
# ΔE_f ... 153 meV/atom



| no. | mass density (g/cm3) |
| --- | --- |
| 1 | 6.41 |
| 2 | 9.21 |
| 3 | 8.08 |